(1)
DFT (GGA-PBE) results for crystalline CsHfTc at its relaxed geometry.

a b c (Å): 6.602 6.602 6.602
angles (deg): 90.00 90.00 90.00
Space group F-43m (No. 216)
Inequivalent atoms, fractional coordinates:
1 Cs 0.000 0.000 0.000 (multiplicity 4)
2 Hf 0.250 0.250 0.750 (multiplicity 4)
3 Tc 0.250 0.250 0.250 (multiplicity 4)

Calculated values
E above lowest polymorph: 2.00 eV/f.u.

(2)
DFT (GGA-PBE) results for crystalline CsHfTe at its relaxed geometry.

a b c (Å): 7.257 7.257 7.257
angles (deg): 90.00 90.00 90.00
Space group F-43m (No. 216)
Inequivalent atoms, fractional coordinates:
1 Cs 0.000 0.000 0.000 (multiplicity 4)
2 Hf 0.250 0.250 0.250 (multiplicity 4)
3 Te 0.000 0.000 0.500 (multiplicity 4)

Calculated values
E above lowest polymorph: 0.00 eV/f.u.

(3)
DFT (GGA-PBE) results for crystalline CsHfTe at its relaxed geometry.

a b c (Å): 8.089 8.089 8.089
angles (deg): 90.00 90.00 90.00
Space group F-43m (No. 216)
Inequivalent atoms, fractional coordinates:
1 Cs 0.000 0.000 0.000 (multiplicity 4)
2 Hf 0.250 0.250 0.750 (multiplicity 4)
3 Te 0.250 0.250 0.250 (multiplicity 4)

Calculated values
E above lowest polymorph: 2.01 eV/f.u.

| no. | magnetic moment (μB/atom) |
| --- | --- |
| 1 | 0.2336 |
| 2 | 0.3433 |
| 3 | 0.4164 |